(1)
## Li2CdPt9 (GGA-PBE)

Data for an optimized crystal structure of Li2CdPt9.

abc: 3.932 3.932 11.841
angles: 90.00 90.00 90.00
Sites, in units of the cell vectors:
Li  0.000  0.000  0.338
Li  0.000  0.000  0.662
Cd  0.000  0.000  0.000
Pt  0.500  0.500  0.000
Pt  0.500  0.500  0.339
Pt  0.500  0.500  0.661
Pt  0.500  0.000  0.177
Pt  0.500  0.000  0.500
Pt  0.500  0.000  0.823
Pt  0.000  0.500  0.177
Pt  0.000  0.500  0.500
Pt  0.000  0.500  0.823

formation energy from the elements: -332 meV/atom
calculated volume: 15.26 Å³/atom

(2)
## Li6Cd12Pt (GGA-PBE)

Data for an optimized crystal structure of Li6Cd12Pt.

abc: 7.186 7.186 7.186
angles: 90.32 90.32 90.32
Sites, in units of the cell vectors:
Li  0.737  0.892  0.258
Li  0.742  0.263  0.108
Li  0.108  0.742  0.263
Li  0.263  0.108  0.742
Li  0.258  0.737  0.892
Li  0.892  0.258  0.737
Cd  0.803  0.529  0.438
Cd  0.438  0.803  0.529
Cd  0.529  0.438  0.803
Cd  0.197  0.471  0.562
Cd  0.562  0.197  0.471
Cd  0.471  0.562  0.197
Cd  0.027  0.152  0.368
Cd  0.848  0.632  0.973
Cd  0.632  0.973  0.848
Cd  0.973  0.848  0.632
Cd  0.152  0.368  0.027
Cd  0.368  0.027  0.152
Pt  0.000  0.000  0.000

formation energy from the elements: -240 meV/atom
calculated volume: 19.53 Å³/atom

(3)
## Li2CdPt (GGA-PBE)

Data for an optimized crystal structure of Li2CdPt.

abc: 2.863 4.065 5.566
angles: 90.00 90.00 90.00
Sites, in units of the cell vectors:
Li  0.000  0.000  0.005
Li  0.500  0.500  0.270
Pt  0.000  0.000  0.480
Cd  0.500  0.500  0.746

formation energy from the elements: -399 meV/atom
calculated volume: 16.20 Å³/atom

(4)
## Li3Cd3Pt (GGA-PBE)

Data for an optimized crystal structure of Li3Cd3Pt.

abc: 7.259 7.259 7.509
angles: 61.09 61.09 60.00
Sites, in units of the cell vectors:
Li  0.553  0.757  0.638
Li  0.757  0.052  0.638
Li  0.052  0.553  0.638
Li  0.948  0.447  0.362
Li  0.243  0.948  0.362
Li  0.447  0.243  0.362
Cd  0.244  0.678  0.171
Cd  0.907  0.244  0.171
Cd  0.678  0.907  0.171
Cd  0.322  0.093  0.829
Cd  0.093  0.756  0.829
Cd  0.756  0.322  0.829
Pt  0.317  0.317  0.050
Pt  0.683  0.683  0.950

distance to the lowest polymorph of the same formula: 94 meV per atom
formation energy from the elements: -195 meV/atom
calculated volume: 20.31 Å³/atom

(5)
## Li15Cd2Pt2 (GGA-PBE)

Data for an optimized crystal structure of Li15Cd2Pt2.

abc: 8.113 8.113 8.113
angles: 52.84 52.84 52.84
Sites, in units of the cell vectors:
Li  0.000  0.500  0.000
Li  0.000  0.000  0.500
Li  0.500  0.000  0.000
Li  0.330  0.000  0.670
Li  0.670  0.330  0.000
Li  0.000  0.670  0.330
Li  0.330  0.670  0.000
Li  0.000  0.330  0.670
Li  0.670  0.000  0.330
Li  0.429  0.824  0.429
Li  0.429  0.429  0.824
Li  0.824  0.429  0.429
Li  0.571  0.176  0.571
Li  0.571  0.571  0.176
Li  0.176  0.571  0.571
Cd  0.920  0.920  0.920
Cd  0.080  0.080  0.080
Pt  0.724  0.724  0.724
Pt  0.276  0.276  0.276

formation energy from the elements: -127 meV/atom
calculated volume: 16.54 Å³/atom

(6)
## Li8Cd6Pt (GGA-PBE)

Data for an optimized crystal structure of Li8Cd6Pt.

abc: 8.048 8.048 6.809
angles: 53.77 53.77 60.00
Sites, in units of the cell vectors:
Li  0.642  0.134  0.273
Li  0.866  0.048  0.727
Li  0.048  0.358  0.727
Li  0.755  0.755  0.736
Li  0.245  0.245  0.264
Li  0.952  0.642  0.273
Li  0.134  0.952  0.273
Li  0.358  0.866  0.727
Cd  0.444  0.170  0.762
Cd  0.830  0.376  0.238
Cd  0.376  0.556  0.238
Cd  0.624  0.444  0.762
Cd  0.170  0.624  0.762
Cd  0.556  0.830  0.238
Pt  0.000  0.000  0.000

formation energy from the elements: -191 meV/atom
calculated volume: 18.61 Å³/atom

(7)
## RbLi2CdPt (GGA-PBE)

Data for an optimized crystal structure of RbLi2CdPt.

abc: 5.047 5.047 5.375
angles: 90.00 90.00 90.00
Sites, in units of the cell vectors:
Li  0.000  0.500  0.000
Li  0.500  0.000  0.000
Rb  0.500  0.500  0.500
Pt  0.000  0.000  0.000
Cd  0.000  0.000  0.500

formation energy from the elements: -193 meV/atom
calculated volume: 27.38 Å³/atom

(8)
## Li2Cd5PtRh2 (GGA-PBE)

Data for an optimized crystal structure of Li2Cd5PtRh2.

abc: 3.238 11.267 11.267
angles: 90.00 90.00 90.00
Sites, in units of the cell vectors:
Li  0.000  0.684  0.184
Li  0.000  0.316  0.816
Li  0.000  0.184  0.316
Li  0.000  0.816  0.684
Cd  0.500  0.191  0.061
Cd  0.500  0.809  0.939
Cd  0.500  0.061  0.809
Cd  0.500  0.691  0.439
Cd  0.500  0.939  0.191
Cd  0.500  0.309  0.561
Cd  0.500  0.561  0.691
Cd  0.500  0.439  0.309
Cd  0.500  0.500  0.000
Cd  0.500  0.000  0.500
Pt  0.000  0.000  0.000
Pt  0.000  0.500  0.500
Rh  0.000  0.136  0.636
Rh  0.000  0.864  0.364
Rh  0.000  0.636  0.864
Rh  0.000  0.364  0.136

formation energy from the elements: -166 meV/atom
calculated volume: 20.55 Å³/atom

Electronic total energy for the records above, in order: -5.26, -1.74, -3.10, -2.27, -2.37, -1.98, -2.54, -3.08 eV per atom